First-principles (SCAN) data for a PBEsol-optimized structure of CeP2Ir2, as listed in Alexandria via LeMat-Bulk.

a b c (Å): 4.110 4.110 9.525
angles (deg): 90.00 90.00 90.00
Sites, in units of the cell vectors:
Ce: 0.250 0.250 0.242
Ce: 0.750 0.750 0.758
P: 0.250 0.250 0.640
P: 0.250 0.750 0.000
P: 0.750 0.250 0.000
P: 0.750 0.750 0.360
Ir: 0.250 0.250 0.885
Ir: 0.250 0.750 0.500
Ir: 0.750 0.250 0.500
Ir: 0.750 0.750 0.115

The total magnetization is 0.2 μB per formula unit. The space-group type is No. 129. The calculated total energy is -42.692 eV per atom. The value obtained for the formation enthalpy at 0 K is -1180 meV per atom. Its theoretical density is 12.10 g/cm³.